This record from the Alexandria database describes a geometry-optimized Ca2Pb4O9 structure. The functional is GGA-PBE.

* magnetization: 0.00 μB per cell
* ρ: 7.4 g cm⁻³
* energy relative to the elements, uncorrected: -1.48 eV per atom

Cell: 5.8735 5.8735 15.7610 Å, 90.00 90.00 120.00°
With the nearest neighbours (Å) after each atom.
Space group P-3 (No. 147)
Symmetry-distinct sites (fractional):
Ca 0.0000 0.0000 0.1414  6 O 2.37-2.47
Ca 0.0000 0.0000 0.3577  6 O 2.33-2.42
Pb 0.3333 0.6667 0.0157  6 O 2.21-2.30
Pb 0.3333 0.6667 0.3047  3 O 2.11
Pb 0.3333 0.6667 0.5199  6 O 2.22-2.29
Pb 0.3333 0.6667 0.8000  6 O 2.43-2.61
O 0.0237 0.3771 0.9224  2 Pb 2.21-2.30, 1 Ca 2.37
O 0.0350 0.6434 0.4215  2 Pb 2.22-2.29, 1 Ca 2.42
O 0.0372 0.3038 0.2560  1 Pb 2.11, 1 Ca 2.33